1.
! GeSb2TeAs, optimized geometry, DFT GGA-PBE; values from VASP
! Formation energy (no corrections) = 389 kJ/mol of formula units
! SG = No. 123
! ΔE to the lowest computed polymorph = 0.072 eV/atom
&SYSTEM
  ibrav = 0, nat = 5, ntyp = 4
/
ATOMIC_SPECIES
Sb 121.76 Sb.upf
As 74.92 As.upf
Te 127.60 Te.upf
Ge 72.64 Ge.upf
CELL_PARAMETERS angstrom
-2.081 -2.942 -3.942
-3.338 -2.299 3.478
-3.564 3.767 -0.930
ATOMIC_POSITIONS angstrom
Sb -1.669 -1.150 1.739
Sb -1.040 -1.471 -1.971
As -4.491 -0.737 -0.697
Te -1.782 1.883 -0.465
Ge 0.000 0.000 0.000

=====

2.
! Ni2OsRh, optimized geometry, DFT GGA-PBE; values from VASP
! SG = No. 139
! Energy of formation from the pure elements = 0.146 eV/atom
&SYSTEM
  ibrav = 0, nat = 4, ntyp = 3
/
ATOMIC_SPECIES
Ni 58.69 Ni.upf
Os 190.23 Os.upf
Rh 102.91 Rh.upf
CELL_PARAMETERS angstrom
-1.905 0.506 4.029
3.045 -1.075 3.113
0.244 2.793 -3.501
ATOMIC_POSITIONS angstrom
Ni 0.000 0.000 0.000
Ni 0.570 -0.285 3.571
Os 1.929 0.717 1.591
Rh -0.545 1.507 2.049

=====

3.
! Co2Bi2Cl, optimized geometry, DFT GGA-PBE; values from VASP
! Formation energy (no corrections) = 179 kJ/mol of formula units
! SG = No. 127
! ΔE to the lowest computed polymorph = 0.347 eV/atom
&SYSTEM
  ibrav = 0, nat = 10, ntyp = 3
/
ATOMIC_SPECIES
Co 58.93 Co.upf
Bi 208.98 Bi.upf
Cl 35.45 Cl.upf
CELL_PARAMETERS angstrom
-5.011 5.030 -3.974
-0.026 -5.061 -6.372
-2.590 -1.580 1.266
ATOMIC_POSITIONS angstrom
Co -1.784 -3.323 -3.531
Co -4.298 -2.382 -7.500
Co -5.844 1.713 -5.550
Co -3.330 0.772 -1.581
Bi -1.622 -2.540 -6.491
Bi -4.124 0.678 -7.593
Bi -3.416 2.510 -3.856
Bi -0.913 -0.708 -2.753
Cl 0.000 0.000 0.000
Cl -2.519 -0.015 -5.173

=====

4.
! BeRhBr2, optimized geometry, DFT GGA-PBE; values from VASP
! Formation energy (no corrections) = 141 kJ/mol of formula units
! SG = No. 10
! ΔE to the lowest computed polymorph = 0.769 eV/atom
&SYSTEM
  ibrav = 0, nat = 4, ntyp = 3
/
ATOMIC_SPECIES
Be 9.01 Be.upf
Rh 102.91 Rh.upf
Br 79.90 Br.upf
CELL_PARAMETERS angstrom
3.230 0.000 0.000
0.000 5.049 -0.042
0.000 0.448 5.039
ATOMIC_POSITIONS angstrom
Be 1.615 4.122 3.747
Rh 1.615 1.374 1.249
Br 0.000 5.320 4.838
Br 0.000 2.924 2.657

=====

5.
! TaFe2Hg, optimized geometry, DFT GGA-PBE; values from VASP
! SG = No. 12
! Energy of formation from the pure elements = 0.368 eV/atom
&SYSTEM
  ibrav = 0, nat = 4, ntyp = 3
/
ATOMIC_SPECIES
Fe 55.84 Fe.upf
Hg 200.59 Hg.upf
Ta 180.95 Ta.upf
CELL_PARAMETERS angstrom
4.586 -0.001 -0.005
3.582 2.863 -0.005
1.053 0.369 4.871
ATOMIC_POSITIONS angstrom
Fe 8.175 2.864 0.231
Fe 4.602 1.612 2.191
Hg 6.915 2.423 3.647
Ta 2.305 0.808 1.216

=====

6.
! Cd2InPt2, optimized geometry, DFT GGA-PBE; values from VASP
! SG = No. 139
! ΔE to the lowest computed polymorph = 0.336 eV/atom
! Energy of formation from the pure elements = -0.003 eV/atom
&SYSTEM
  ibrav = 0, nat = 5, ntyp = 3
/
ATOMIC_SPECIES
Cd 112.41 Cd.upf
Pt 195.08 Pt.upf
In 114.82 In.upf
CELL_PARAMETERS angstrom
3.979 0.000 0.000
0.000 3.979 0.000
1.990 1.990 6.760
ATOMIC_POSITIONS angstrom
Cd 1.990 1.990 1.444
Cd 3.979 3.979 5.316
Pt 3.979 1.990 3.380
Pt 1.990 3.979 3.380
In 0.000 0.000 0.000

=====

7.
! SmPaPdSe4, optimized geometry, DFT GGA-PBE; values from VASP
! Formation energy (no corrections) = -824 kJ/mol of formula units
! SG = No. 11
&SYSTEM
  ibrav = 0, nat = 14, ntyp = 4
/
ATOMIC_SPECIES
Sm 150.36 Sm.upf
Pa 231.04 Pa.upf
Pd 106.42 Pd.upf
Se 78.96 Se.upf
CELL_PARAMETERS angstrom
6.664 0.000 0.140
0.000 6.681 0.000
-2.421 0.000 7.561
ATOMIC_POSITIONS angstrom
Sm 2.978 5.011 7.332
Sm 1.265 1.670 0.370
Pa 3.998 5.011 3.447
Pa 0.245 1.670 4.254
Pd 0.793 5.011 2.507
Pd 3.450 1.670 5.195
Se -1.579 3.474 5.623
Se 5.822 0.134 2.079
Se 5.822 3.207 2.079
Se -1.579 6.547 5.623
Se 2.786 5.011 0.936
Se 1.457 1.670 6.765
Se 1.593 5.011 4.847
Se 2.650 1.670 2.854

=====

8.
! Ag2AuSe, optimized geometry, DFT GGA-PBE; values from VASP
! Formation energy (no corrections) = 68 kJ/mol of formula units
! SG = No. 160
&SYSTEM
  ibrav = 0, nat = 4, ntyp = 3
/
ATOMIC_SPECIES
Ag 107.87 Ag.upf
Au 196.97 Au.upf
Se 78.96 Se.upf
CELL_PARAMETERS angstrom
3.953 0.000 0.000
1.976 3.423 0.000
1.976 1.141 6.359
ATOMIC_POSITIONS angstrom
Ag 1.976 1.141 4.824
Ag 1.976 1.141 1.550
Au 3.953 2.282 3.192
Se 5.929 3.423 6.330

=====

9.
! BaGa3Os, optimized geometry, DFT GGA-PBE; values from VASP
! SG = No. 63
! ΔE to the lowest computed polymorph = 0.529 eV/atom
! Energy of formation from the pure elements = 0.131 eV/atom
&SYSTEM
  ibrav = 0, nat = 10, ntyp = 3
/
ATOMIC_SPECIES
Os 190.23 Os.upf
Ba 137.33 Ba.upf
Ga 69.72 Ga.upf
CELL_PARAMETERS angstrom
5.372 -1.265 8.276
-7.047 4.618 -5.288
-3.690 -3.501 1.860
ATOMIC_POSITIONS angstrom
Os -1.910 0.872 1.795
Os -3.455 -1.020 3.053
Ba -5.560 2.601 -2.192
Ba 0.196 -2.749 7.040
Ga -3.743 2.369 0.975
Ga -2.921 0.723 -0.491
Ga -2.444 -0.871 5.339
Ga -1.622 -2.516 3.873
Ga 0.000 0.000 0.000
Ga -1.845 -1.750 0.930

=====

10.
! La3Sm4ErTe8, optimized geometry, DFT GGA-PBE; values from VASP
! Formation energy (no corrections) = -2215 kJ/mol of formula units
! SG = No. 12
&SYSTEM
  ibrav = 0, nat = 16, ntyp = 4
/
ATOMIC_SPECIES
La 138.91 La.upf
Sm 150.36 Sm.upf
Er 167.26 Er.upf
Te 127.60 Te.upf
CELL_PARAMETERS angstrom
-6.335 -0.755 6.336
3.128 -8.093 2.163
5.508 7.093 -0.028
ATOMIC_POSITIONS angstrom
La -1.604 -4.424 4.250
La 1.151 -0.877 4.236
La 4.318 -0.500 1.068
Sm -3.167 -0.377 3.168
Sm -0.413 3.169 3.154
Sm 0.000 0.000 0.000
Sm 2.754 3.546 -0.014
Er 1.564 -4.046 1.082
Te 0.827 -6.228 3.185
Te 3.503 -2.782 3.171
Te 1.909 1.368 2.072
Te -2.430 -6.616 6.442
Te 4.731 4.862 2.029
Te 0.392 -3.122 6.400
Te -1.202 1.028 5.300
Te 1.474 4.474 5.287

=====

11.
! PmTc2Sb, optimized geometry, DFT GGA-PBE; values from VASP
! Formation energy (no corrections) = 46 kJ/mol of formula units
! SG = No. 123
! ΔE to the lowest computed polymorph = 0.022 eV/atom
&SYSTEM
  ibrav = 0, nat = 4, ntyp = 3
/
ATOMIC_SPECIES
Sb 121.76 Sb.upf
Tc 98.00 Tc.upf
Pm 145.00 Pm.upf
CELL_PARAMETERS angstrom
3.542 0.000 0.000
0.000 4.639 0.000
0.000 0.000 4.639
ATOMIC_POSITIONS angstrom
Sb 1.771 2.319 2.319
Tc 0.000 0.000 2.319
Tc 0.000 2.319 0.000
Pm 1.771 0.000 0.000

=====

12.
! La4Te2PPb, optimized geometry, DFT GGA-PBE; values from VASP
! Formation energy (no corrections) = -1053 kJ/mol of formula units
! SG = No. 10
&SYSTEM
  ibrav = 0, nat = 8, ntyp = 4
/
ATOMIC_SPECIES
La 138.91 La.upf
Te 127.60 Te.upf
P 30.97 P.upf
Pb 207.20 Pb.upf
CELL_PARAMETERS angstrom
-0.778 3.591 2.639
-7.376 0.487 -2.838
-4.783 -4.323 4.472
ATOMIC_POSITIONS angstrom
La -8.976 -2.852 1.233
La -3.962 2.606 3.040
La -7.031 0.982 0.467
La -5.907 -1.227 3.806
Te -4.783 -4.323 4.472
Te -2.781 -0.366 3.556
P -6.080 -1.918 0.817
Pb -4.077 2.039 -0.100

=====

13.
! ZrBCl2, optimized geometry, DFT GGA-PBE; values from VASP
! Formation energy (no corrections) = 190 kJ/mol of formula units
! SG = No. 166
! ΔE to the lowest computed polymorph = 0.406 eV/atom
&SYSTEM
  ibrav = 0, nat = 4, ntyp = 3
/
ATOMIC_SPECIES
B 10.81 B.upf
Zr 91.22 Zr.upf
Cl 35.45 Cl.upf
CELL_PARAMETERS angstrom
1.960 0.000 8.224
-0.980 1.697 8.224
-0.980 -1.697 8.224
ATOMIC_POSITIONS angstrom
B 0.000 0.000 12.337
Zr 0.000 0.000 0.000
Cl 0.000 0.000 22.185
Cl 0.000 0.000 2.488

=====

14.
! BP3, optimized geometry, DFT GGA-PBE; values from VASP
! SG = No. 5
! ΔE to the lowest computed polymorph = 0.104 eV/atom
! Energy of formation from the pure elements = 0.113 eV/atom
&SYSTEM
  ibrav = 0, nat = 4, ntyp = 2
/
ATOMIC_SPECIES
P 30.97 P.upf
B 10.81 B.upf
CELL_PARAMETERS angstrom
3.328 0.010 0.051
0.658 3.265 -0.081
0.781 0.861 5.234
ATOMIC_POSITIONS angstrom
P 1.678 3.343 4.542
P 2.923 1.551 2.375
P 1.174 0.880 0.863
B 3.352 3.200 3.454

=====

15.
! Hf4GaAs, optimized geometry, DFT GGA-PBE; values from VASP
! SG = No. 124
! ΔE to the lowest computed polymorph = 0.000 eV/atom
! Energy of formation from the pure elements = -0.622 eV/atom
&SYSTEM
  ibrav = 0, nat = 12, ntyp = 3
/
ATOMIC_SPECIES
Hf 178.49 Hf.upf
Ga 69.72 Ga.upf
As 74.92 As.upf
CELL_PARAMETERS angstrom
-1.572 -4.558 -2.330
6.128 -0.944 -2.287
1.536 -3.338 5.493
ATOMIC_POSITIONS angstrom
Hf 1.957 -2.332 3.241
Hf 5.707 -1.950 -0.036
Hf 2.354 -0.844 0.063
Hf 5.309 -3.438 3.142
Hf 5.396 -5.262 0.499
Hf 0.696 -3.578 0.376
Hf 3.464 -3.415 -1.810
Hf 2.627 -5.425 2.685
Ga -0.393 -1.139 -0.583
Ga -1.179 -3.418 -1.748
As 3.439 -3.281 1.020
As 2.653 -5.560 -0.145

=====

16.
! Dy2HoEr4Sc, optimized geometry, DFT GGA-PBE; values from VASP
! SG = No. 123
! Energy of formation from the pure elements = 0.033 eV/atom
&SYSTEM
  ibrav = 0, nat = 8, ntyp = 4
/
ATOMIC_SPECIES
Dy 162.50 Dy.upf
Ho 164.93 Ho.upf
Er 167.26 Er.upf
Sc 44.96 Sc.upf
CELL_PARAMETERS angstrom
-1.488 -2.210 -4.151
-4.399 -0.889 2.050
-7.724 7.740 -1.351
ATOMIC_POSITIONS angstrom
Dy -7.724 7.740 -1.351
Dy -4.606 2.765 -2.751
Ho -2.943 -1.549 -1.051
Er -10.565 2.893 -3.613
Er -3.046 1.749 0.161
Er -5.988 0.199 -0.890
Er -7.622 4.443 -2.563
Sc -6.061 3.426 0.349

=====

17.
! Pr3ThN3, optimized geometry, DFT GGA-PBE; values from VASP
! Formation energy (no corrections) = -535 kJ/mol of formula units
! SG = No. 12
! ΔE to the lowest computed polymorph = 0.268 eV/atom
&SYSTEM
  ibrav = 0, nat = 14, ntyp = 3
/
ATOMIC_SPECIES
Pr 140.91 Pr.upf
Th 232.04 Th.upf
N 14.01 N.upf
CELL_PARAMETERS angstrom
6.856 -0.194 -0.098
-0.082 6.311 -2.393
-0.127 0.115 6.748
ATOMIC_POSITIONS angstrom
Pr 4.264 4.021 2.746
Pr 3.337 5.004 -0.657
Pr 3.310 1.228 4.913
Pr -0.094 4.662 0.039
Pr -0.115 1.763 4.316
Pr 2.383 2.211 1.510
Th 0.770 5.036 3.417
Th 5.877 1.196 0.839
N 5.253 5.774 3.940
N 2.120 3.141 4.026
N 2.133 4.893 1.440
N 4.527 3.091 0.231
N 4.515 1.339 2.816
N 1.394 0.458 0.317

=====

18.
! LiWAu2, optimized geometry, DFT GGA-PBE; values from VASP
! SG = No. 25
! ΔE to the lowest computed polymorph = 0.181 eV/atom
! Energy of formation from the pure elements = 0.202 eV/atom
&SYSTEM
  ibrav = 0, nat = 4, ntyp = 3
/
ATOMIC_SPECIES
Au 196.97 Au.upf
Li 6.94 Li.upf
W 183.84 W.upf
CELL_PARAMETERS angstrom
2.717 0.000 0.000
0.000 4.424 0.000
0.000 0.000 5.613
ATOMIC_POSITIONS angstrom
Au 0.000 0.000 5.353
Au 1.359 2.212 1.688
Li 0.000 0.000 2.582
W 1.359 2.212 4.410

=====

19.
! Pm2Ho7Tm, optimized geometry, DFT GGA-PBE; values from VASP
! SG = No. 2
! ΔE to the lowest computed polymorph = 0.084 eV/atom
! Energy of formation from the pure elements = 0.241 eV/atom
&SYSTEM
  ibrav = 0, nat = 10, ntyp = 3
/
ATOMIC_SPECIES
Pm 145.00 Pm.upf
Ho 164.93 Ho.upf
Tm 168.93 Tm.upf
CELL_PARAMETERS angstrom
5.376 -0.420 -0.841
-0.002 7.440 -3.739
-1.376 -0.297 8.685
ATOMIC_POSITIONS angstrom
Pm 3.415 5.271 1.223
Pm 0.583 1.453 2.882
Ho 0.357 4.580 -0.144
Ho 3.641 2.143 4.249
Ho 0.981 4.721 3.625
Ho 3.017 2.003 0.480
Ho 3.018 6.633 -1.840
Ho 0.980 0.091 5.945
Ho 2.687 3.510 -2.290
Tm 0.000 0.000 0.000

=====

20.
! YErAg, optimized geometry, DFT GGA-PBE; values from VASP
! SG = No. 62
! ΔE to the lowest computed polymorph = 0.000 eV/atom
! Energy of formation from the pure elements = -0.219 eV/atom
&SYSTEM
  ibrav = 0, nat = 12, ntyp = 3
/
ATOMIC_SPECIES
Y 88.91 Y.upf
Er 167.26 Er.upf
Ag 107.87 Ag.upf
CELL_PARAMETERS angstrom
-0.312 0.406 5.005
-6.374 -6.397 0.121
4.980 -4.949 0.712
ATOMIC_POSITIONS angstrom
Y -2.875 -7.506 1.694
Y -2.161 -1.802 3.804
Y 0.454 -9.138 2.034
Y 1.168 -3.434 4.144
Er -5.368 -6.344 3.973
Er -0.673 -6.606 4.287
Er 3.661 -4.596 1.866
Er -1.033 -4.334 1.551
Ag -2.876 -4.746 3.999
Ag -2.262 -9.102 4.390
Ag 0.555 -1.837 1.448
Ag 1.169 -6.194 1.840

=====

21.
! Mg3Cd4In3, optimized geometry, DFT GGA-PBE; values from VASP
! SG = No. 38
! Energy of formation from the pure elements = -0.004 eV/atom
&SYSTEM
  ibrav = 0, nat = 10, ntyp = 3
/
ATOMIC_SPECIES
Mg 24.30 Mg.upf
Cd 112.41 Cd.upf
In 114.82 In.upf
CELL_PARAMETERS angstrom
3.469 0.000 0.000
0.000 8.356 -0.027
0.000 0.047 8.356
ATOMIC_POSITIONS angstrom
Mg 1.735 6.893 1.449
Mg 1.735 2.784 2.663
Mg 1.735 5.715 5.569
Cd 0.000 5.246 3.110
Cd 0.000 3.196 5.179
Cd 0.000 7.278 7.327
Cd 0.000 1.012 1.116
In 0.000 4.190 0.007
In 0.000 8.359 4.139
In 1.735 1.495 6.894

=====

22.
! EuNpIr2, optimized geometry, DFT GGA-PBE; values from VASP
! SG = No. 225
! Energy of formation from the pure elements = -0.233 eV/atom
&SYSTEM
  ibrav = 0, nat = 4, ntyp = 3
/
ATOMIC_SPECIES
Np 237.00 Np.upf
Eu 151.96 Eu.upf
Ir 192.22 Ir.upf
CELL_PARAMETERS angstrom
-0.162 2.810 -3.984
0.533 -1.999 -4.417
-3.815 -0.278 -3.027
ATOMIC_POSITIONS angstrom
Np -1.722 0.266 -5.714
Eu 0.000 0.000 0.000
Ir -0.861 0.133 -2.857
Ir -2.583 0.400 -8.571

=====

23.
! LaNdYMg, optimized geometry, DFT GGA-PBE; values from VASP
! SG = No. 99
! ΔE to the lowest computed polymorph = 0.000 eV/atom
! Energy of formation from the pure elements = -0.041 eV/atom
&SYSTEM
  ibrav = 0, nat = 4, ntyp = 4
/
ATOMIC_SPECIES
La 138.91 La.upf
Nd 144.24 Nd.upf
Y 88.91 Y.upf
Mg 24.30 Mg.upf
CELL_PARAMETERS angstrom
3.725 0.000 0.000
0.000 3.725 0.000
0.000 0.000 9.286
ATOMIC_POSITIONS angstrom
La 1.862 1.862 7.437
Nd 0.000 0.000 0.741
Y 1.862 1.862 3.200
Mg 0.000 0.000 5.195

=====

24.
! HPtN2, optimized geometry, DFT GGA-PBE; values from VASP
! SG = No. 122
! ΔE to the lowest computed polymorph = 0.777 eV/atom
&SYSTEM
  ibrav = 0, nat = 8, ntyp = 3
/
ATOMIC_SPECIES
H 1.01 H.upf
Pt 195.08 Pt.upf
N 14.01 N.upf
CELL_PARAMETERS angstrom
4.310 0.000 0.000
0.000 4.310 0.000
2.155 2.155 4.063
ATOMIC_POSITIONS angstrom
H 2.155 2.155 0.000
H 2.155 4.310 2.031
Pt 0.000 0.000 0.000
Pt 4.310 2.155 2.031
N 2.993 1.077 1.016
N 1.317 3.232 1.016
N 3.232 3.471 3.047
N 5.387 5.148 3.047

=====

25.
! Sr4In3, optimized geometry, DFT GGA-PBE; values from VASP
! SG = No. 166
! ΔE to the lowest computed polymorph = 0.016 eV/atom
! Energy of formation from the pure elements = -0.343 eV/atom
&SYSTEM
  ibrav = 0, nat = 7, ntyp = 2
/
ATOMIC_SPECIES
Sr 87.62 Sr.upf
In 114.82 In.upf
CELL_PARAMETERS angstrom
5.498 0.000 1.639
2.505 4.895 1.639
0.025 0.015 9.958
ATOMIC_POSITIONS angstrom
Sr 4.995 3.055 3.329
Sr 7.009 4.287 6.613
Sr 1.019 0.623 6.623
Sr 3.034 1.856 9.907
In 2.024 1.238 3.252
In 6.005 3.672 9.984
In 0.000 0.000 0.000

=====

Number 1: E_tot -3.324 eV per atom. Number 2: E_tot -7.390 eV per atom. Number 3: E_tot -4.393 eV per atom. Number 4: E_tot -3.241 eV per atom. Number 5: E_tot -6.902 eV per atom. Number 6: E_tot -3.334 eV per atom. Number 7: E_tot -5.984 eV per atom. Number 8: E_tot -2.941 eV per atom. Number 9: E_tot -4.316 eV per atom. Number 10: E_tot -5.394 eV per atom. Number 11: E_tot -7.283 eV per atom. Number 12: E_tot -5.753 eV per atom. Number 13: E_tot -4.237 eV per atom. Number 14: E_tot -5.614 eV per atom. Number 15: E_tot -8.537 eV per atom. Number 16: E_tot -4.763 eV per atom. Number 17: E_tot -7.469 eV per atom. Number 18: E_tot -5.153 eV per atom. Number 19: E_tot -4.360 eV per atom. Number 20: E_tot -4.845 eV per atom. Number 21: E_tot -1.670 eV per atom. Number 22: E_tot -10.467 eV per atom. Number 23: E_tot -4.479 eV per atom. Number 24: E_tot -5.116 eV per atom. Number 25: E_tot -2.478 eV per atom.